! PBE Rb2USnS4, relaxed; values from VASP
&SYSTEM
  ibrav = 0, nat = 8, ntyp = 4
/
ATOMIC_SPECIES
Rb 85.47 Rb.upf
U 238.03 U.upf
Sn 118.71 Sn.upf
S 32.06 S.upf
ATOMIC_POSITIONS crystal
Rb 0.0000 0.0000 0.0000
Rb 0.5000 0.5000 0.0000
U 0.0000 0.5000 0.5000
Sn 0.5000 0.0000 0.5000
S 0.2136 0.0000 0.6900
S 0.2439 0.5000 0.3073
S 0.7561 0.5000 0.6927
S 0.7864 0.0000 0.3100
CELL_PARAMETERS angstrom
7.3709 0.0000 0.0000
0.0000 4.1718 0.0000
-2.3395 0.0000 7.5647
! Energy relative to the elements, uncorrected = -1.1409 eV per atom
! SG = P2/m (10)

---

! PBE CuBAsBr2, relaxed; values from VASP
&SYSTEM
  ibrav = 0, nat = 5, ntyp = 4
/
ATOMIC_SPECIES
Cu 63.55 Cu.upf
B 10.81 B.upf
As 74.92 As.upf
Br 79.90 Br.upf
ATOMIC_POSITIONS crystal
Cu 0.0000 0.0000 0.0000
B 0.5000 0.5000 0.5000
As 0.5000 0.5000 0.0000
Br 0.0000 0.5000 0.5000
Br 0.5000 0.0000 0.5000
CELL_PARAMETERS angstrom
5.0935 0.0000 0.0000
0.0000 5.0935 0.0000
0.0000 0.0000 4.0030
! Energy relative to the elements, uncorrected = 0.9244 eV per atom
! SG = P4/mmm (123)

---

! PBE CaTbEu4, relaxed; values from VASP
&SYSTEM
  ibrav = 0, nat = 6, ntyp = 3
/
ATOMIC_SPECIES
Ca 40.08 Ca.upf
Tb 158.93 Tb.upf
Eu 151.96 Eu.upf
ATOMIC_POSITIONS crystal
Ca 0.0000 0.0000 0.0000
Tb 0.2500 0.2500 0.2500
Eu 0.1278 0.6241 0.6241
Eu 0.6241 0.1278 0.6241
Eu 0.6241 0.6241 0.1278
Eu 0.6241 0.6241 0.6241
CELL_PARAMETERS angstrom
0.0000 4.9662 4.9662
4.9662 0.0000 4.9662
4.9662 4.9662 0.0000
! DFT formation energy = 209.7 meV/atom
! SG = F-43m (216)

---

! PBE CeSiMo, relaxed; values from VASP
&SYSTEM
  ibrav = 0, nat = 12, ntyp = 3
/
ATOMIC_SPECIES
Ce 140.12 Ce.upf
Si 28.09 Si.upf
Mo 95.94 Mo.upf
ATOMIC_POSITIONS crystal
Ce 0.0000 0.2500 0.1420
Ce 0.0000 0.7500 0.8580
Ce 0.5000 0.2500 0.8580
Ce 0.5000 0.7500 0.1420
Si 0.2500 0.0000 0.5000
Si 0.2500 0.5000 0.5000
Si 0.7500 0.0000 0.5000
Si 0.7500 0.5000 0.5000
Mo 0.0000 0.2500 0.6998
Mo 0.0000 0.7500 0.3002
Mo 0.5000 0.2500 0.3002
Mo 0.5000 0.7500 0.6998
CELL_PARAMETERS angstrom
5.6939 0.0000 0.0000
0.0000 7.5135 0.0000
0.0000 0.0000 5.5734
! Energy relative to the elements, uncorrected = -0.1987 eV per atom
! SG = Cmme (67)

---

! PBE HfTi3Pd7, relaxed; values from VASP
&SYSTEM
  ibrav = 0, nat = 11, ntyp = 3
/
ATOMIC_SPECIES
Hf 178.49 Hf.upf
Ti 47.87 Ti.upf
Pd 106.42 Pd.upf
ATOMIC_POSITIONS crystal
Hf 0.0000 0.0000 0.0000
Ti 0.2719 0.7281 0.5000
Ti 0.5000 0.5000 0.0000
Ti 0.7281 0.2719 0.5000
Pd 0.0000 0.0000 0.5000
Pd 0.0947 0.5568 0.8133
Pd 0.3198 0.3198 0.4287
Pd 0.4432 0.9053 0.1867
Pd 0.5568 0.0947 0.8133
Pd 0.6802 0.6802 0.5713
Pd 0.9053 0.4432 0.1867
CELL_PARAMETERS angstrom
4.2447 -4.7474 0.0000
4.2447 4.7474 0.0000
-2.0396 0.0000 4.6985
! DFT formation energy = -389.5 meV/atom
! SG = C2/m (12)

---

! PBE CrAsBr2, relaxed; values from VASP
&SYSTEM
  ibrav = 0, nat = 8, ntyp = 3
/
ATOMIC_SPECIES
Cr 52.00 Cr.upf
As 74.92 As.upf
Br 79.90 Br.upf
ATOMIC_POSITIONS crystal
Cr 0.0000 0.0000 0.0000
Cr 0.5000 0.5000 0.0000
As 0.0000 0.5000 0.0000
As 0.5000 0.0000 0.0000
Br 0.2500 0.2500 0.5000
Br 0.2500 0.7500 0.5000
Br 0.7500 0.2500 0.5000
Br 0.7500 0.7500 0.5000
CELL_PARAMETERS angstrom
6.5204 0.0000 0.0000
0.0000 7.9492 0.0000
-3.2518 0.0000 3.8200
! Energy relative to the elements, uncorrected = 0.2378 eV per atom
! SG = C2/m (12)

---

! PBE CePm4Y6, relaxed; values from VASP
&SYSTEM
  ibrav = 0, nat = 22, ntyp = 3
/
ATOMIC_SPECIES
Ce 140.12 Ce.upf
Pm 145.00 Pm.upf
Y 88.91 Y.upf
ATOMIC_POSITIONS crystal
Ce 0.1851 0.8149 0.7500
Ce 0.8149 0.1851 0.2500
Pm 0.1578 0.8422 0.0433
Pm 0.1578 0.8422 0.4567
Pm 0.4714 0.5286 0.1225
Pm 0.4714 0.5286 0.3775
Pm 0.5286 0.4714 0.6225
Pm 0.5286 0.4714 0.8775
Pm 0.8422 0.1578 0.5433
Pm 0.8422 0.1578 0.9567
Y 0.1440 0.8560 0.1822
Y 0.1440 0.8560 0.3178
Y 0.1874 0.8126 0.6029
Y 0.1874 0.8126 0.8971
Y 0.4812 0.5188 0.2500
Y 0.5000 0.5000 0.0000
Y 0.5000 0.5000 0.5000
Y 0.5188 0.4812 0.7500
Y 0.8126 0.1874 0.1029
Y 0.8126 0.1874 0.3971
Y 0.8560 0.1440 0.6822
Y 0.8560 0.1440 0.8178
CELL_PARAMETERS angstrom
2.8977 -4.8550 0.0000
2.8977 4.8550 0.0000
0.0000 0.0000 26.0706
! DFT formation energy = 135.1 meV/atom
! SG = Cmcm (63)

---

! PBE NbCrCo3, relaxed; values from VASP
&SYSTEM
  ibrav = 0, nat = 5, ntyp = 3
/
ATOMIC_SPECIES
Nb 92.91 Nb.upf
Cr 52.00 Cr.upf
Co 58.93 Co.upf
ATOMIC_POSITIONS crystal
Nb 0.0000 0.0000 0.0000
Cr 0.5000 0.5000 0.5000
Co 0.0000 0.0000 0.5000
Co 0.0000 0.5000 0.0000
Co 0.5000 0.0000 0.0000
CELL_PARAMETERS angstrom
4.3829 0.0000 0.0000
0.0000 4.3829 0.0000
0.0000 0.0000 4.3829
! DFT formation energy = 1768.6 meV/atom
! SG = Pm-3m (221)

---

! PBE HoTm2Si6, relaxed; values from VASP
&SYSTEM
  ibrav = 0, nat = 9, ntyp = 3
/
ATOMIC_SPECIES
Ho 164.93 Ho.upf
Tm 168.93 Tm.upf
Si 28.09 Si.upf
ATOMIC_POSITIONS crystal
Ho 0.0000 0.0000 0.0000
Tm 0.3333 0.6667 0.0000
Tm 0.6667 0.3333 0.0000
Si 0.0000 0.3339 0.5000
Si 0.0000 0.6661 0.5000
Si 0.3339 0.0000 0.5000
Si 0.3339 0.3339 0.5000
Si 0.6661 0.0000 0.5000
Si 0.6661 0.6661 0.5000
CELL_PARAMETERS angstrom
7.0989 0.0000 0.0000
-3.5495 6.1479 0.0000
0.0000 0.0000 3.8462
! Energy relative to the elements, uncorrected = -0.4863 eV per atom
! SG = P6/mmm (191)

---

! PBE CsNaB, relaxed; values from VASP
&SYSTEM
  ibrav = 0, nat = 12, ntyp = 3
/
ATOMIC_SPECIES
Cs 132.91 Cs.upf
Na 22.99 Na.upf
B 10.81 B.upf
ATOMIC_POSITIONS crystal
Cs 0.0000 0.1870 0.0000
Cs 0.0000 0.8130 0.0000
Cs 0.5000 0.3130 0.5000
Cs 0.5000 0.6870 0.5000
Na 0.0000 0.0000 0.4931
Na 0.0000 0.5000 0.4871
Na 0.5000 0.0000 0.9871
Na 0.5000 0.5000 0.9931
B 0.0000 0.4449 0.9873
B 0.0000 0.5551 0.9873
B 0.5000 0.0551 0.4873
B 0.5000 0.9449 0.4873
CELL_PARAMETERS angstrom
5.2564 0.0000 0.0000
0.0000 14.2030 0.0000
0.0000 0.0000 5.2567
! DFT formation energy = 515.2 meV/atom
! SG = Imm2 (44)

---

! PBE Cs3Li2CeI8, relaxed; values from VASP
&SYSTEM
  ibrav = 0, nat = 14, ntyp = 4
/
ATOMIC_SPECIES
Cs 132.91 Cs.upf
Li 6.94 Li.upf
Ce 140.12 Ce.upf
I 126.90 I.upf
ATOMIC_POSITIONS crystal
Cs 0.0000 0.0000 0.0000
Cs 0.3333 0.6667 0.6304
Cs 0.6667 0.3333 0.3696
Li 0.3333 0.6667 0.1997
Li 0.6667 0.3333 0.8003
Ce 0.0000 0.0000 0.5000
I 0.1671 0.3342 0.3274
I 0.1671 0.8329 0.3274
I 0.3333 0.6667 0.9629
I 0.3342 0.1671 0.6726
I 0.6658 0.8329 0.3274
I 0.6667 0.3333 0.0371
I 0.8329 0.1671 0.6726
I 0.8329 0.6658 0.6726
CELL_PARAMETERS angstrom
8.6217 0.0000 0.0000
-4.3108 7.4666 0.0000
0.0000 0.0000 10.9207
! Energy relative to the elements, uncorrected = -1.3627 eV per atom
! SG = P-3m1 (164)

---

! PBE SrZrTe, relaxed; values from VASP
&SYSTEM
  ibrav = 0, nat = 6, ntyp = 3
/
ATOMIC_SPECIES
Sr 87.62 Sr.upf
Zr 91.22 Zr.upf
Te 127.60 Te.upf
ATOMIC_POSITIONS crystal
Sr 0.0000 0.0000 0.0000
Sr 0.5000 0.5000 0.5000
Zr 0.0000 0.0000 0.7013
Zr 0.5000 0.5000 0.2013
Te 0.0000 0.0000 0.3023
Te 0.5000 0.5000 0.8023
CELL_PARAMETERS angstrom
3.8099 0.0000 0.0000
0.0000 3.8099 0.0000
0.0000 0.0000 12.6538
! Energy relative to the elements, uncorrected = -0.4792 eV per atom
! SG = I4mm (107)

---

! PBE Ta2TiGa4, relaxed; values from VASP
&SYSTEM
  ibrav = 0, nat = 14, ntyp = 3
/
ATOMIC_SPECIES
Ta 180.95 Ta.upf
Ti 47.87 Ti.upf
Ga 69.72 Ga.upf
ATOMIC_POSITIONS crystal
Ta 0.0000 0.0000 0.0992
Ta 0.0000 0.0000 0.9008
Ta 0.5000 0.5000 0.4008
Ta 0.5000 0.5000 0.5992
Ti 0.0000 0.0000 0.5000
Ti 0.5000 0.5000 0.0000
Ga 0.0000 0.0000 0.3045
Ga 0.0000 0.0000 0.6955
Ga 0.0000 0.5000 0.0000
Ga 0.0000 0.5000 0.5000
Ga 0.5000 0.0000 0.0000
Ga 0.5000 0.0000 0.5000
Ga 0.5000 0.5000 0.1955
Ga 0.5000 0.5000 0.8045
CELL_PARAMETERS angstrom
4.7632 0.0000 0.0000
0.0000 4.7632 0.0000
0.0000 0.0000 13.1638
! DFT formation energy = 530.2 meV/atom
! SG = I4/mmm (139)

---

! PBE K2Ag12Sb7, relaxed; values from VASP
&SYSTEM
  ibrav = 0, nat = 21, ntyp = 3
/
ATOMIC_SPECIES
K 39.10 K.upf
Ag 107.87 Ag.upf
Sb 121.76 Sb.upf
ATOMIC_POSITIONS crystal
K 0.3333 0.6667 0.2295
K 0.6667 0.3333 0.7705
Ag 0.0510 0.4298 0.8045
Ag 0.1241 0.2541 0.1745
Ag 0.1299 0.8759 0.1745
Ag 0.2541 0.1299 0.8255
Ag 0.3788 0.9490 0.8045
Ag 0.4298 0.3788 0.1955
Ag 0.5702 0.6212 0.8045
Ag 0.6212 0.0510 0.1955
Ag 0.7459 0.8701 0.1745
Ag 0.8701 0.1241 0.8255
Ag 0.8759 0.7459 0.8255
Ag 0.9490 0.5702 0.1955
Sb 0.0000 0.0000 0.5000
Sb 0.1085 0.7070 0.6964
Sb 0.2930 0.4015 0.6964
Sb 0.4015 0.1085 0.3036
Sb 0.5985 0.8915 0.6964
Sb 0.7070 0.5985 0.3036
Sb 0.8915 0.2930 0.3036
CELL_PARAMETERS angstrom
10.9725 0.0000 0.0000
-5.4863 9.5025 0.0000
0.0000 0.0000 4.8565
! Energy relative to the elements, uncorrected = -0.0348 eV per atom
! SG = P-3 (147)

---

! PBE SrMnOs2, relaxed; values from VASP
&SYSTEM
  ibrav = 0, nat = 4, ntyp = 3
/
ATOMIC_SPECIES
Sr 87.62 Sr.upf
Mn 54.94 Mn.upf
Os 190.23 Os.upf
ATOMIC_POSITIONS crystal
Sr 0.0000 0.0000 0.0000
Mn 0.5000 0.5000 0.3286
Os 0.0000 0.0000 0.5312
Os 0.5000 0.5000 0.7158
CELL_PARAMETERS angstrom
2.9328 0.0000 0.0000
0.0000 2.9328 0.0000
0.0000 0.0000 8.7084
! DFT formation energy = 569.3 meV/atom
! SG = P4mm (99)

---

! PBE V2SiPd8, relaxed; values from VASP
&SYSTEM
  ibrav = 0, nat = 11, ntyp = 3
/
ATOMIC_SPECIES
V 50.94 V.upf
Si 28.09 Si.upf
Pd 106.42 Pd.upf
ATOMIC_POSITIONS crystal
V 0.1905 0.1905 0.1902
V 0.8095 0.8095 0.8098
Si 0.5000 0.5000 0.5000
Pd 0.0007 0.0007 0.2458
Pd 0.1876 0.1876 0.6894
Pd 0.3634 0.3634 0.6243
Pd 0.3647 0.3647 0.1010
Pd 0.6353 0.6353 0.8990
Pd 0.6366 0.6366 0.3757
Pd 0.8124 0.8124 0.3106
Pd 0.9993 0.9993 0.7542
CELL_PARAMETERS angstrom
7.2105 -2.2184 0.0000
7.2105 2.2184 0.0000
-2.1669 0.0000 5.1694
! Energy relative to the elements, uncorrected = -0.3211 eV per atom
! SG = C2/m (12)

---

! PBE TmOsBr, relaxed; values from VASP
&SYSTEM
  ibrav = 0, nat = 6, ntyp = 3
/
ATOMIC_SPECIES
Tm 168.93 Tm.upf
Os 190.23 Os.upf
Br 79.90 Br.upf
ATOMIC_POSITIONS crystal
Tm 0.0587 0.0587 0.0587
Tm 0.9413 0.9413 0.9413
Os 0.3375 0.3375 0.3375
Os 0.6625 0.6625 0.6625
Br 0.2212 0.2212 0.2212
Br 0.7788 0.7788 0.7788
CELL_PARAMETERS angstrom
2.0772 1.1993 11.1878
-2.0772 1.1993 11.1878
0.0000 -2.3985 11.1878
! Energy relative to the elements, uncorrected = -0.9524 eV per atom
! SG = R-3m (166)

---

! PBE TlZnRe2, relaxed; values from VASP
&SYSTEM
  ibrav = 0, nat = 8, ntyp = 3
/
ATOMIC_SPECIES
Tl 204.38 Tl.upf
Zn 65.41 Zn.upf
Re 186.21 Re.upf
ATOMIC_POSITIONS crystal
Tl 0.0000 0.0000 0.0000
Tl 0.5000 0.5000 0.0000
Zn 0.0000 0.5000 0.0000
Zn 0.5000 0.0000 0.0000
Re 0.2500 0.2500 0.5000
Re 0.2500 0.7500 0.5000
Re 0.7500 0.2500 0.5000
Re 0.7500 0.7500 0.5000
CELL_PARAMETERS angstrom
5.3735 0.0000 0.0000
0.0000 8.8297 0.0000
0.0000 0.0000 2.8477
! DFT formation energy = 1009.3 meV/atom
! SG = Cmmm (65)

---

! PBE PuUB, relaxed; values from VASP
&SYSTEM
  ibrav = 0, nat = 12, ntyp = 3
/
ATOMIC_SPECIES
Pu 244.00 Pu.upf
U 238.03 U.upf
B 10.81 B.upf
ATOMIC_POSITIONS crystal
Pu 0.1485 0.1411 0.4909
Pu 0.1485 0.3589 0.9909
Pu 0.8515 0.6411 0.0091
Pu 0.8515 0.8589 0.5091
U 0.4153 0.5823 0.7553
U 0.4153 0.9177 0.2553
U 0.5847 0.0823 0.7447
U 0.5847 0.4177 0.2447
B 0.0906 0.5309 0.3866
B 0.0906 0.9691 0.8866
B 0.9094 0.0309 0.1134
B 0.9094 0.4691 0.6134
CELL_PARAMETERS angstrom
4.9542 0.0000 0.0000
0.0000 6.3919 0.0000
-0.6719 0.0000 6.0147
! DFT formation energy = -38.5 meV/atom
! SG = P2_1/c (14)

---

! PBE ZnAs2Pb, relaxed; values from VASP
&SYSTEM
  ibrav = 0, nat = 8, ntyp = 3
/
ATOMIC_SPECIES
Zn 65.41 Zn.upf
As 74.92 As.upf
Pb 207.20 Pb.upf
ATOMIC_POSITIONS crystal
Zn 0.0000 0.0000 0.0000
Zn 0.5000 0.5000 0.5000
As 0.0000 0.5000 0.2500
As 0.0000 0.5000 0.7500
As 0.5000 0.0000 0.2500
As 0.5000 0.0000 0.7500
Pb 0.0000 0.0000 0.5000
Pb 0.5000 0.5000 0.0000
CELL_PARAMETERS angstrom
4.6762 0.0000 0.0000
0.0000 4.6762 0.0000
0.0000 0.0000 8.1583
! DFT formation energy = 285.3 meV/atom
! SG = I4/mmm (139)